A plane-wave DFT calculation with PBE was carried out for crystalline Cd2W at its relaxed geometry.

a b c (Å): 7.2243 7.2243 5.0461
angles (deg): 90.00 90.00 90.00
Closest atoms and distances in Å follow each position.
Space group I4/mcm (No. 140)
One atom of each set of equivalent atoms:
Cd 0.1769 0.3231 0.0000  2 Cd 2.93, 4 W 2.94
W 0.0000 0.0000 0.2500  2 W 2.52

Properties
Fermi-level density of states in states/eV/f.u.: 2.703
E_form in kJ/mol of formula units: 190

A plane-wave DFT calculation with PBE was carried out for crystalline ScHRh2 at its relaxed geometry.

a b c (Å): 5.9971 5.9971 5.9971
angles (deg): 90.00 90.00 90.00
Closest atoms and distances in Å follow each position.
Space group Fm-3m (No. 225)
One atom of each set of equivalent atoms:
Sc 0.0000 0.0000 0.0000  8 Rh 2.60
H 0.0000 0.0000 0.5000  8 Rh 2.60
Rh 0.2500 0.2500 0.2500  4 H 2.60, 4 Sc 2.60

Properties
Fermi-level density of states in states/eV/f.u.: 2.184

A plane-wave DFT calculation with PBE was carried out for crystalline InAsPd6 at its relaxed geometry.

a b c (Å): 3.9914 3.9914 8.0185
angles (deg): 90.00 90.00 90.00
Closest atoms and distances in Å follow each position.
Space group P4/mmm (No. 123)
One atom of each set of equivalent atoms:
In 0.0000 0.0000 0.0000  12 Pd 2.82-2.88
As 0.0000 0.0000 0.5000  12 Pd 2.78-2.82
Pd 0.0000 0.5000 0.2587  8 Pd 2.78-2.88, 2 As 2.78, 2 In 2.88
Pd 0.5000 0.5000 0.0000  4 In 2.82, 8 Pd 2.88
Pd 0.5000 0.5000 0.5000  8 Pd 2.78, 4 As 2.82

Properties
Fermi-level density of states in states/eV/f.u.: 2.609
E_form in kJ/mol of formula units: -261

no.,uncorrected energy (eV for the cell shown),total moment (μB/atom),energy above the most stable polymorph in this dataset (kcal/mol of atoms)
1,-51.3,0.000,4.91
2,-97.5,0.000,9.51
3,-41.3,0.000,0.00